Material: VIn
Method: DFT, GGA-PBE
State: optimized geometry

As for the formation enthalpy at 0 K: 507 meV per atom. The total energy is -5.42 eV per atom.

The structure belongs to space group Fddd (No. 70, origin choice 2); the cell edges are 5.2607, 8.6150 and 13.8525 Å and the angles 90.00°, 90.00° and 90.00°. The asymmetric unit holds V at (0.1250, 0.1250, 0.0559) and In at (0.1250, 0.2912, 0.6250).